An optimized crystal structure of Nb2AlCrRe. Source: the Alexandria database, functional PBE.

a b c (Å): 4.6888 4.6888 4.1484
angles (deg): 90.00 90.00 90.00
Closest atoms and distances in Å follow each position.
Space group P4/mmm (No. 123)
Asymmetric unit:
Nb: 0.0000 0.5000 0.0000  2 Al 2.34
Al: 0.0000 0.0000 0.0000  2 Cr 2.07
Cr: 0.0000 0.0000 0.5000  2 Al 2.07
Re: 0.5000 0.5000 0.5000  8 Nb 3.13, 4 Cr 3.32

N(E_F) ... 4.8 states/eV/f.u.
Formation energy ... 140.8 kJ/mol of atoms
V ... 91.2 Å³/cell

An optimized crystal structure of Nb2AlCr2Ru5. Source: the Alexandria database, functional PBE.

a b c (Å): 9.1656 9.1656 3.5415
angles (deg): 90.00 90.00 90.00
Closest atoms and distances in Å follow each position.
Space group P4/mbm (No. 127)
Asymmetric unit:
Nb: 0.1736 0.3264 0.0000  3 Cr 2.55-2.81
Al: 0.0000 0.0000 0.0000  8 Ru 2.64
Cr: 0.1301 0.6301 0.0000  6 Ru 2.41-2.45, 1 Nb 2.55
Ru: 0.0000 0.5000 0.5000  4 Cr 2.45
Ru: 0.0665 0.7966 0.5000  2 Cr 2.41, 2 Al 2.64

N(E_F) ... 9.0 states/eV/f.u.
Formation energy ... -4.1 kJ/mol of atoms
V ... 297.5 Å³/cell

An optimized crystal structure of NbAlCrSe2. Source: the Alexandria database, functional PBE.

a b c (Å): 4.6825 4.6825 4.9223
angles (deg): 90.00 90.00 90.00
Closest atoms and distances in Å follow each position.
Space group P4/mmm (No. 123)
Asymmetric unit:
Nb: 0.0000 0.0000 0.0000  2 Al 2.46
Al: 0.0000 0.0000 0.5000  4 Se 2.34, 2 Nb 2.46
Cr: 0.5000 0.5000 0.0000  4 Nb 3.31, 8 Se 3.40
Se: 0.0000 0.5000 0.5000  2 Al 2.34

N(E_F) ... 7.1 states/eV/f.u.
V ... 107.9 Å³/cell
Formation energy without anion corrections ... 1365 meV per atom

An optimized crystal structure of NbAlVCr. Source: the Alexandria database, functional PBE.

a b c (Å): 6.1855 6.1855 6.1855
angles (deg): 90.00 90.00 90.00
Closest atoms and distances in Å follow each position.
Space group F-43m (No. 216)
Asymmetric unit:
Nb: 0.0000 0.0000 0.0000  4 Cr 2.68, 4 V 2.68
Al: 0.0000 0.0000 0.5000  4 V 2.68, 4 Cr 2.68
V: 0.2500 0.2500 0.2500  4 Nb 2.68, 4 Al 2.68
Cr: 0.2500 0.2500 0.7500  4 Nb 2.68, 4 Al 2.68

N(E_F) ... 4.3 states/eV/f.u.
Formation energy ... -6.8 kJ/mol of atoms
V ... 236.7 Å³/cell